A plane-wave DFT calculation with PBE was carried out for a relaxed Sr2YPbS crystal.

a = 5.606 Å, b = 5.606 Å, c = 5.294 Å
α = 90.00°, β = 90.00°, γ = 90.00°
Positions (direct):
Y 0.000 0.000 0.500
Sr 0.500 0.000 0.000
Sr 0.000 0.500 0.000
S 0.000 0.000 0.000
Pb 0.500 0.500 0.500

Energy relative to the elements, uncorrected (kJ/mol of atoms): -88
E (eV per cell): -22.22
Spin magnetization (μB/cell): 0.00
Mass density (g/cm3): 5.02

***

A plane-wave DFT calculation with PBE was carried out for a relaxed Sr2Y2Pb2S crystal.

a = 5.186 Å, b = 5.186 Å, c = 9.482 Å
α = 105.87°, β = 105.87°, γ = 90.00°
Positions (direct):
Y 0.000 0.500 0.000
Y 0.500 0.000 0.000
Pb 0.375 0.375 0.750
Pb 0.625 0.625 0.250
Sr 0.825 0.825 0.649
Sr 0.175 0.175 0.351
S 0.000 0.000 0.000

Energy relative to the elements, uncorrected (kJ/mol of atoms): -96
E (eV per cell): -34.77
Spin magnetization (μB/cell): 0.00
Mass density (g/cm3): 5.64

***

A plane-wave DFT calculation with PBE was carried out for a relaxed Sr2YPbS4 crystal.

a = 4.151 Å, b = 7.286 Å, c = 7.216 Å
α = 109.30°, β = 90.00°, γ = 90.00°
Positions (direct):
S 0.000 0.266 0.766
S 0.500 0.261 0.240
S 0.500 0.739 0.760
S 0.000 0.734 0.234
Pb 0.000 0.000 0.000
Sr 0.500 0.000 0.500
Sr 0.000 0.500 0.500
Y 0.500 0.500 0.000

Energy relative to the elements, uncorrected (kJ/mol of atoms): -158
E (eV per cell): -43.18
Spin magnetization (μB/cell): 0.00
Mass density (g/cm3): 4.83

***

A plane-wave DFT calculation with PBE was carried out for a relaxed Sr2ZnPbS crystal.

a = 5.787 Å, b = 4.701 Å, c = 5.787 Å
α = 90.00°, β = 90.00°, γ = 90.00°
Positions (direct):
Sr 0.000 0.000 0.500
Sr 0.500 0.000 0.000
Zn 0.000 0.500 0.000
Pb 0.500 0.500 0.500
S 0.000 0.000 0.000

Energy relative to the elements, uncorrected (kJ/mol of atoms): -67
E (eV per cell): -15.93
Spin magnetization (μB/cell): 0.00
Mass density (g/cm3): 5.06

***

A plane-wave DFT calculation with PBE was carried out for a relaxed TaPb2S5 crystal.

a = 6.255 Å, b = 7.057 Å, c = 7.412 Å
α = 118.47°, β = 114.97°, γ = 89.99°
Positions (direct):
S 0.789 0.802 0.081
S 0.291 0.278 0.080
S 0.790 0.279 0.080
S 0.291 0.802 0.080
S 0.780 0.780 0.561
Pb 0.174 0.674 0.347
Pb 0.686 0.187 0.372
Ta 0.976 0.976 0.953

Energy relative to the elements, uncorrected (kJ/mol of atoms): -47
E (eV per cell): -43.82
Spin magnetization (μB/cell): 0.00
Mass density (g/cm3): 4.97

***

A plane-wave DFT calculation with PBE was carried out for a relaxed TaPbS3 crystal.

a = 5.022 Å, b = 5.022 Å, c = 5.022 Å
α = 90.00°, β = 90.00°, γ = 90.00°
Site moments in Bohr magnetons follow the coordinates.
Positions (direct):
S 0.000 0.500 0.000  -0.17
S 0.000 0.000 0.500  -0.12
S 0.500 0.000 0.000  -0.12
Pb 0.000 0.000 0.000  0.01
Ta 0.500 0.500 0.500  1.95

Energy relative to the elements, uncorrected (kJ/mol of atoms): 118
E (eV per cell): -21.81
Spin magnetization (μB/cell): 2.32
Mass density (g/cm3): 6.35

***

A plane-wave DFT calculation with PBE was carried out for a relaxed Ta4PbS8 crystal.

a = 7.318 Å, b = 7.318 Å, c = 7.318 Å
α = 60.00°, β = 60.00°, γ = 60.00°
Positions (direct):
S 0.603 0.603 0.603
S 0.603 0.191 0.603
S 0.122 0.122 0.635
S 0.635 0.122 0.122
S 0.122 0.122 0.122
S 0.603 0.603 0.191
S 0.122 0.635 0.122
S 0.191 0.603 0.603
Ta 0.355 0.935 0.355
Ta 0.355 0.355 0.935
Ta 0.355 0.355 0.355
Ta 0.935 0.355 0.355
Pb 0.750 0.750 0.750

Energy relative to the elements, uncorrected (kJ/mol of atoms): -82
E (eV per cell): -95.14
Spin magnetization (μB/cell): 0.00
Relative energy among the computed polymorphs (eV/atom): 0.099
Mass density (g/cm3): 7.12

***

A plane-wave DFT calculation with PBE was carried out for a relaxed Ta3PbS crystal.

a = 4.621 Å, b = 4.621 Å, c = 4.621 Å
α = 90.00°, β = 90.00°, γ = 90.00°
Positions (direct):
Ta 0.000 0.500 0.000
Ta 0.000 0.000 0.500
Ta 0.500 0.000 0.000
Pb 0.500 0.500 0.500
S 0.000 0.000 0.000

Energy relative to the elements, uncorrected (kJ/mol of atoms): 41
E (eV per cell): -41.29
Spin magnetization (μB/cell): 0.00
Relative energy among the computed polymorphs (eV/atom): 0.000
Mass density (g/cm3): 13.16